(1)
The following is a DFT calculation (GGA-PBE) of a relaxed Re2RhPb2 crystal.

The calculated volume is 22.0 Å³/atom. The total energy comes out at -6.7122 eV per atom.

a b c (Å): 5.374 5.374 5.374
angles (deg): 119.74 119.74 90.45
Sites, in units of the cell vectors:
Re (0.151, 0.151, 0.000)
Re (0.849, 0.849, 0.000)
Rh (0.500, 0.500, 0.000)
Pb (0.250, 0.750, 0.500)
Pb (0.750, 0.250, 0.500)

(2)
The following is a DFT calculation (GGA-PBE) of a relaxed ReRh2Pb crystal.

The calculated volume is 17.0 Å³/atom. The total energy comes out at -7.3555 eV per atom.

a b c (Å): 2.893 3.899 6.012
angles (deg): 90.00 90.00 90.00
Sites, in units of the cell vectors:
Re (0.000, 0.000, 0.000)
Rh (0.000, 0.000, 0.434)
Rh (0.500, 0.500, 0.176)
Pb (0.500, 0.500, 0.682)

no.,magnetic moment (μB per formula unit)
1,0.005
2,0.000